DFT (PBE) results for crystalline CaMnGa2Sn at its relaxed geometry. Values from VASP.

Summary:
Formation energy from the elements: -0.18 eV per atom

```
&SYSTEM
  ibrav = 0, nat = 5, ntyp = 4
/
ATOMIC_SPECIES
Ca 40.08 Ca.upf
Mn 54.94 Mn.upf
Ga 69.72 Ga.upf
Sn 118.71 Sn.upf
CELL_PARAMETERS angstrom
4.693 0.000 0.000
0.000 4.693 0.000
0.000 0.000 4.953
ATOMIC_POSITIONS crystal
Ca 0.000 0.000 0.000
Mn 0.500 0.500 0.500
Ga 0.000 0.500 0.500
Ga 0.500 0.000 0.500
Sn 0.500 0.500 0.000
```